Entry 1:
Here is a relaxed Er2Tm3Hg2 crystal from Alexandria. Energies are from GGA-PBE.

abc: 5.275 5.282 8.399
angles: 108.28 90.00 119.96
Atoms (fractional coordinates):
Er (0.925, 0.850, 0.275)
Er (0.075, 0.150, 0.725)
Tm (0.500, 0.000, 0.000)
Tm (0.657, 0.314, 0.472)
Tm (0.343, 0.686, 0.528)
Hg (0.786, 0.573, 0.859)
Hg (0.214, 0.427, 0.141)

Summary:
Spin magnetization = 0.00 μB/f.u.
E_tot = -3.5402 eV per atom
ΔE_f = -0.234 eV/atom
DOS at the Fermi energy = 7.580 states/eV/cell
Symmetry = C2/m
Excess energy over the best structure of this formula in the dataset = 0 meV/atom
Volume = 27.00 Å³/atom

=====

Entry 2:
Here is a relaxed Er4TmHg4 crystal from Alexandria. Energies are from GGA-PBE.

abc: 5.477 9.423 9.423
angles: 90.00 90.00 90.00
Atoms (fractional coordinates):
Er (0.395, 0.411, 0.848)
Er (0.895, 0.652, 0.911)
Er (0.395, 0.589, 0.152)
Er (0.105, 0.089, 0.652)
Er (0.605, 0.848, 0.589)
Er (0.105, 0.911, 0.348)
Er (0.895, 0.348, 0.089)
Er (0.605, 0.152, 0.411)
Tm (0.000, 0.000, 0.000)
Tm (0.500, 0.500, 0.500)
Hg (0.608, 0.896, 0.204)
Hg (0.608, 0.104, 0.796)
Hg (0.108, 0.704, 0.604)
Hg (0.892, 0.396, 0.704)
Hg (0.892, 0.604, 0.296)
Hg (0.392, 0.204, 0.104)
Hg (0.392, 0.796, 0.896)
Hg (0.108, 0.296, 0.396)

Summary:
Spin magnetization = 0.00 μB/f.u.
E_tot = -2.9023 eV per atom
ΔE_f = -0.243 eV/atom
DOS at the Fermi energy = 15.418 states/eV/cell
Symmetry = P4_2/n
Volume = 27.02 Å³/atom

=====

Entry 3:
Here is a relaxed ErTm4Hg5 crystal from Alexandria. Energies are from GGA-PBE.

abc: 3.676 3.676 18.402
angles: 90.00 90.00 90.00
Atoms (fractional coordinates):
Er (0.000, 0.000, 0.000)
Tm (0.000, 0.000, 0.201)
Tm (0.000, 0.000, 0.400)
Tm (0.000, 0.000, 0.600)
Tm (0.000, 0.000, 0.799)
Hg (0.500, 0.500, 0.101)
Hg (0.500, 0.500, 0.300)
Hg (0.500, 0.500, 0.500)
Hg (0.500, 0.500, 0.700)
Hg (0.500, 0.500, 0.899)

Summary:
Spin magnetization = 0.00 μB/f.u.
E_tot = -2.8759 eV per atom
ΔE_f = -0.480 eV/atom
DOS at the Fermi energy = 6.668 states/eV/cell
Symmetry = P4/mmm
Volume = 24.86 Å³/atom

=====

Entry 4:
Here is a relaxed ErTm2Hg6 crystal from Alexandria. Energies are from GGA-PBE.

abc: 4.471 4.471 13.095
angles: 99.83 99.83 90.00
Atoms (fractional coordinates):
Er (0.000, 0.000, 0.000)
Tm (0.333, 0.333, 0.666)
Tm (0.667, 0.667, 0.334)
Hg (0.916, 0.416, 0.832)
Hg (0.416, 0.916, 0.832)
Hg (0.084, 0.584, 0.168)
Hg (0.750, 0.250, 0.500)
Hg (0.250, 0.750, 0.500)
Hg (0.584, 0.084, 0.168)

Summary:
Spin magnetization = 0.00 μB/f.u.
E_tot = -1.8385 eV per atom
ΔE_f = -0.137 eV/atom
DOS at the Fermi energy = 6.088 states/eV/cell
Symmetry = I4/mmm
Excess energy over the best structure of this formula in the dataset = 238 meV/atom
Volume = 28.23 Å³/atom

=====

Entry 5:
Here is a relaxed ErTmHg5 crystal from Alexandria. Energies are from GGA-PBE.

abc: 4.592 4.592 8.564
angles: 90.00 90.00 90.00
Atoms (fractional coordinates):
Er (0.500, 0.500, 0.000)
Tm (0.000, 0.000, 0.500)
Hg (0.000, 0.500, 0.763)
Hg (0.000, 0.500, 0.237)
Hg (0.500, 0.000, 0.763)
Hg (0.500, 0.000, 0.237)
Hg (0.500, 0.500, 0.500)

Summary:
Spin magnetization = 0.00 μB/f.u.
E_tot = -1.7433 eV per atom
ΔE_f = -0.237 eV/atom
DOS at the Fermi energy = 3.005 states/eV/cell
Symmetry = P4/mmm
Volume = 25.80 Å³/atom

=====

Entry 6:
Here is a relaxed ErTm3Hg2 crystal from Alexandria. Energies are from GGA-PBE.

abc: 3.630 3.630 12.269
angles: 90.00 90.00 90.00
Atoms (fractional coordinates):
Er (0.500, 0.500, 0.500)
Tm (0.000, 0.000, 0.000)
Tm (0.000, 0.000, 0.696)
Tm (0.000, 0.000, 0.304)
Hg (0.500, 0.500, 0.847)
Hg (0.500, 0.500, 0.153)

Summary:
Spin magnetization = 0.00 μB/f.u.
E_tot = -3.3964 eV per atom
ΔE_f = -0.300 eV/atom
DOS at the Fermi energy = 6.537 states/eV/cell
Symmetry = P4/mmm
Excess energy over the best structure of this formula in the dataset = 67 meV/atom
Volume = 26.94 Å³/atom

=====

Entry 7:
Here is a relaxed Er2Tm2Hg7 crystal from Alexandria. Energies are from GGA-PBE.

abc: 7.373 5.899 7.373
angles: 69.30 87.62 110.70
Atoms (fractional coordinates):
Er (0.648, 0.878, 0.352)
Er (0.352, 0.122, 0.648)
Tm (0.838, 0.500, 0.838)
Tm (0.162, 0.500, 0.162)
Hg (0.928, 0.162, 0.586)
Hg (0.586, 0.838, 0.928)
Hg (0.072, 0.838, 0.414)
Hg (0.414, 0.162, 0.072)
Hg (0.000, 0.000, 0.000)
Hg (0.286, 0.564, 0.714)
Hg (0.714, 0.436, 0.286)

Summary:
Spin magnetization = 0.00 μB/f.u.
E_tot = -2.1109 eV per atom
ΔE_f = -0.276 eV/atom
DOS at the Fermi energy = 5.867 states/eV/cell
Symmetry = C2/m
Volume = 25.04 Å³/atom

=====

Entry 8:
Here is a relaxed Er2Tm3Hg2 crystal from Alexandria. Energies are from GGA-PBE.

abc: 3.524 3.519 15.895
angles: 90.00 83.63 90.00
Atoms (fractional coordinates):
Er (0.703, 0.500, 0.594)
Er (0.297, 0.500, 0.406)
Tm (0.874, 0.000, 0.251)
Tm (0.000, 0.000, 0.000)
Tm (0.126, 0.000, 0.749)
Hg (0.562, 0.500, 0.877)
Hg (0.438, 0.500, 0.123)

Summary:
Spin magnetization = 0.00 μB/f.u.
E_tot = -3.4892 eV per atom
ΔE_f = -0.183 eV/atom
DOS at the Fermi energy = 9.389 states/eV/cell
Symmetry = Cmmm
Excess energy over the best structure of this formula in the dataset = 51 meV/atom
Volume = 27.99 Å³/atom